! Cs2SmGaTe4 GGA-PBE optimized geometry; values from VASP
&SYSTEM
  ibrav = 0, nat = 16, ntyp = 4
/
ATOMIC_SPECIES
Cs 132.91 Cs.upf
Sm 150.36 Sm.upf
Ga 69.72 Ga.upf
Te 127.60 Te.upf
CELL_PARAMETERS angstrom
0.000 8.036 14.175
3.408 0.000 14.175
3.408 8.036 0.000
ATOMIC_POSITIONS angstrom
Cs 2.556 6.027 1.608
Cs 4.260 10.045 8.696
Cs 2.556 6.027 19.655
Cs 4.260 10.045 26.742
Sm 0.852 2.009 3.544
Sm 5.965 14.063 24.807
Ga 2.556 6.027 10.632
Ga 4.260 10.045 17.719
Te 4.033 4.400 9.072
Te 4.033 7.654 12.191
Te 5.737 8.418 19.278
Te 5.737 11.672 16.160
Te 1.080 4.400 12.191
Te 1.080 7.654 9.072
Te 2.784 8.418 16.160
Te 2.784 11.672 19.278
! * space-group type: Fddd (70)
! * raw formation energy: -0.974 eV per atom

***

! Ho2Tl2Ag GGA-PBE optimized geometry; values from VASP
&SYSTEM
  ibrav = 0, nat = 10, ntyp = 3
/
ATOMIC_SPECIES
Ho 164.93 Ho.upf
Tl 204.38 Tl.upf
Ag 107.87 Ag.upf
CELL_PARAMETERS angstrom
7.587 0.000 0.000
0.000 7.587 0.000
0.000 0.000 4.546
ATOMIC_POSITIONS angstrom
Ho 1.256 2.538 0.000
Ho 2.538 6.331 0.000
Ho 5.049 1.256 0.000
Ho 6.331 5.049 0.000
Tl 1.074 4.867 2.273
Tl 2.720 1.074 2.273
Tl 4.867 6.513 2.273
Tl 6.513 2.720 2.273
Ag 0.000 0.000 2.273
Ag 3.793 3.793 2.273
! * ΔE_f: -0.2279 eV per atom
! * space-group type: P4/mbm (127)
! * energy above the most stable polymorph in this dataset: 0 meV/atom

***

! Ga2Bi2Se GGA-PBE optimized geometry; values from VASP
&SYSTEM
  ibrav = 0, nat = 10, ntyp = 3
/
ATOMIC_SPECIES
Ga 69.72 Ga.upf
Bi 208.98 Bi.upf
Se 78.96 Se.upf
CELL_PARAMETERS angstrom
8.163 0.000 0.000
0.000 8.163 0.000
0.000 0.000 4.053
ATOMIC_POSITIONS angstrom
Ga 0.971 3.110 0.000
Ga 3.110 7.192 0.000
Ga 5.053 0.971 0.000
Ga 7.192 5.053 0.000
Bi 1.492 5.574 2.026
Bi 2.589 1.492 2.026
Bi 5.574 6.671 2.026
Bi 6.671 2.589 2.026
Se 0.000 0.000 2.026
Se 4.081 4.081 2.026
! * space-group type: P4/mbm (127)
! * raw formation energy: 0.067 eV per atom
! * energy above the most stable polymorph in this dataset: 39 meV/atom

***

! Zr2AgPb GGA-PBE optimized geometry; values from VASP
&SYSTEM
  ibrav = 0, nat = 4, ntyp = 3
/
ATOMIC_SPECIES
Zr 91.22 Zr.upf
Ag 107.87 Ag.upf
Pb 207.20 Pb.upf
CELL_PARAMETERS angstrom
-2.134 2.134 4.861
2.134 -2.134 4.861
2.134 2.134 -4.861
ATOMIC_POSITIONS angstrom
Zr 0.000 0.000 0.000
Zr 0.000 2.134 2.431
Ag 2.134 0.000 2.431
Pb 0.000 0.000 4.861
! * ΔE_f: -0.0489 eV per atom
! * space-group type: I-4m2 (119)

***

! MnNb2S5 GGA-PBE optimized geometry; values from VASP
&SYSTEM
  ibrav = 0, nat = 8, ntyp = 3
/
ATOMIC_SPECIES
Mn 54.94 Mn.upf
Nb 92.91 Nb.upf
S 32.06 S.upf
CELL_PARAMETERS angstrom
0.000 6.424 6.561
2.222 0.000 6.561
2.222 6.424 0.000
ATOMIC_POSITIONS angstrom
Mn 0.000 0.000 0.000
Nb 2.222 6.424 4.136
Nb 2.222 6.424 8.986
S 2.222 4.922 2.145
S 2.222 7.927 2.145
S 2.222 6.424 6.561
S 2.222 4.922 10.977
S 2.222 7.927 10.977
! * space-group type: Fmmm (69)
! * raw formation energy: -0.683 eV per atom
! * energy above the most stable polymorph in this dataset: 40 meV/atom

***

! TlZnSn2Ir GGA-PBE optimized geometry; values from VASP
&SYSTEM
  ibrav = 0, nat = 5, ntyp = 4
/
ATOMIC_SPECIES
Tl 204.38 Tl.upf
Zn 65.41 Zn.upf
Sn 118.71 Sn.upf
Ir 192.22 Ir.upf
CELL_PARAMETERS angstrom
5.147 0.000 0.000
0.000 5.147 0.000
0.000 0.000 4.982
ATOMIC_POSITIONS angstrom
Tl 0.000 0.000 0.000
Zn 2.573 2.573 0.000
Sn 0.000 2.573 2.491
Sn 2.573 0.000 2.491
Ir 2.573 2.573 2.491
! * ΔE_f: 0.0424 eV per atom
! * space-group type: P4/mmm (123)

***

! LuBiO3 GGA-PBE optimized geometry; values from VASP
&SYSTEM
  ibrav = 0, nat = 10, ntyp = 3
/
ATOMIC_SPECIES
Lu 174.97 Lu.upf
Bi 208.98 Bi.upf
O 16.00 O.upf
CELL_PARAMETERS angstrom
2.963 1.711 5.008
-2.963 1.711 5.008
0.000 -3.422 5.008
ATOMIC_POSITIONS angstrom
Lu 0.000 0.000 0.000
Lu 0.000 0.000 7.512
Bi 0.000 0.000 4.307
Bi 0.000 0.000 11.820
O -0.604 -1.545 5.936
O -1.927 -0.415 8.440
O -1.036 1.296 5.936
O 1.323 -1.462 8.440
O 1.640 0.249 5.936
O 0.604 1.877 8.440
! * space-group type: R3c (161)
! * raw formation energy: -2.437 eV per atom

***

! Li3Sb4Pd2Rh2 GGA-PBE optimized geometry; values from VASP
&SYSTEM
  ibrav = 0, nat = 11, ntyp = 4
/
ATOMIC_SPECIES
Li 6.94 Li.upf
Sb 121.76 Sb.upf
Pd 106.42 Pd.upf
Rh 102.91 Rh.upf
CELL_PARAMETERS angstrom
4.485 0.000 0.000
-2.242 3.884 0.000
0.000 0.000 11.995
ATOMIC_POSITIONS angstrom
Li 0.000 0.000 0.000
Li 0.000 0.000 3.260
Li 0.000 0.000 8.735
Sb 0.000 2.589 4.972
Sb 0.000 2.589 10.428
Sb 2.242 1.295 1.567
Sb 2.242 1.295 7.024
Pd 0.000 2.589 2.314
Pd 2.242 1.295 9.682
Rh 0.000 2.589 7.739
Rh 2.242 1.295 4.257
! * space-group type: P-3m1 (164)
! * raw formation energy: -0.492 eV per atom

***

! GeH2F6 GGA-PBE optimized geometry; values from VASP
&SYSTEM
  ibrav = 0, nat = 18, ntyp = 3
/
ATOMIC_SPECIES
Ge 72.64 Ge.upf
H 1.01 H.upf
F 19.00 F.upf
CELL_PARAMETERS angstrom
6.347 -5.225 0.000
6.347 5.225 0.000
-1.307 0.000 4.001
ATOMIC_POSITIONS angstrom
Ge 5.367 2.971 3.001
Ge 6.020 -2.971 1.000
H 2.933 0.111 1.968
H 2.279 -0.111 3.969
H 9.108 0.111 0.033
H 8.455 -0.111 2.033
F 4.713 3.969 1.771
F 7.328 3.969 0.230
F 3.207 0.610 1.146
F 4.133 1.976 3.649
F 2.554 -0.610 3.147
F 6.601 1.976 2.353
F 4.786 -1.976 1.648
F 8.834 0.610 0.855
F 7.255 -1.976 0.353
F 8.181 -0.610 2.855
F 4.059 -3.969 3.772
F 6.675 -3.969 2.230
! * space-group type: C2/c (15)
! * energy above the most stable polymorph in this dataset: 0 meV/atom

***

! Rb2NaHg7Au2 GGA-PBE optimized geometry; values from VASP
&SYSTEM
  ibrav = 0, nat = 12, ntyp = 4
/
ATOMIC_SPECIES
Rb 85.47 Rb.upf
Na 22.99 Na.upf
Hg 200.59 Hg.upf
Au 196.97 Au.upf
CELL_PARAMETERS angstrom
3.358 -3.339 0.000
3.358 3.339 0.000
-2.453 0.000 16.189
ATOMIC_POSITIONS angstrom
Rb 0.056 0.000 5.400
Rb 4.207 0.000 10.789
Na 0.000 0.000 0.000
Hg 1.722 1.667 2.398
Hg 0.816 0.000 9.007
Hg 2.540 1.667 13.791
Hg 3.358 0.000 0.000
Hg 1.722 -1.667 2.398
Hg 3.446 0.000 7.181
Hg 2.540 -1.667 13.791
Au 0.843 0.000 11.906
Au 3.419 0.000 4.282
! * ΔE_f: -0.1949 eV per atom
! * space-group type: C2/m (12)

***

! CsTiCl3 GGA-PBE optimized geometry; values from VASP
&SYSTEM
  ibrav = 0, nat = 10, ntyp = 3
/
ATOMIC_SPECIES
Cs 132.91 Cs.upf
Ti 47.87 Ti.upf
Cl 35.45 Cl.upf
CELL_PARAMETERS angstrom
-3.937 4.739 4.815
3.937 -4.739 4.815
3.937 4.739 -4.815
ATOMIC_POSITIONS angstrom
Cs 0.000 0.000 2.209
Cs 0.000 0.000 7.422
Ti 3.937 1.180 0.000
Ti 0.000 3.559 4.815
Cl 3.937 0.000 2.096
Cl 1.840 2.272 0.000
Cl 2.097 -2.467 4.815
Cl 1.840 7.206 0.000
Cl 2.097 2.467 4.815
Cl 0.000 4.739 2.720
! * space-group type: Immm (71)
! * raw formation energy: -1.528 eV per atom
! * energy above the most stable polymorph in this dataset: 169 meV/atom

***

! HgSb2Se GGA-PBE optimized geometry; values from VASP
&SYSTEM
  ibrav = 0, nat = 4, ntyp = 3
/
ATOMIC_SPECIES
Hg 200.59 Hg.upf
Sb 121.76 Sb.upf
Se 78.96 Se.upf
CELL_PARAMETERS angstrom
1.937 -2.762 0.000
1.937 2.762 0.000
0.000 0.000 9.987
ATOMIC_POSITIONS angstrom
Hg 0.000 0.000 0.000
Sb 0.000 0.000 4.617
Sb 1.937 0.000 7.246
Se 1.937 0.000 2.621
! * space-group type: Cmm2 (35)
! * raw formation energy: 0.200 eV per atom
! * energy above the most stable polymorph in this dataset: 204 meV/atom

***

Record order is preserved below.
Total magnetic moment: 0.00, 0.00, 0.00, 0.00, 3.97, 0.00, 0.00, 0.00, 0.10, 0.00, 0.09, 0.00 μB/cell